(1)
# KNa2O4, relaxed, DFT PBE
data_KNa2O4
_symmetry_space_group_name_H-M 'P 1'
_symmetry_Int_Tables_number 1
_cell_length_a 5.642
_cell_length_b 5.642
_cell_length_c 7.244
_cell_angle_alpha 110.53
_cell_angle_beta 110.53
_cell_angle_gamma 89.71
loop_
_symmetry_equiv_pos_as_xyz
'x,y,z'
loop_
_atom_site_label
_atom_site_fract_x
_atom_site_fract_y
_atom_site_fract_z
K1 0.118 0.882 0.500
K2 0.882 0.118 0.000
Na1 0.077 0.437 0.763
Na2 0.437 0.077 0.263
Na3 0.558 0.574 0.686
Na4 0.574 0.558 0.186
O1 0.140 0.686 0.110
O2 0.161 0.347 0.439
O3 0.347 0.161 0.939
O4 0.380 0.896 0.902
O5 0.640 0.866 0.531
O6 0.686 0.140 0.610
O7 0.866 0.640 0.031
O8 0.896 0.380 0.402
# total magnetization	2.05	μB/cell
# SG	No. 9
# formation energy without anion corrections	-0.913	eV per atom
# E_tot	-4.28	eV per atom


(2)
# Rb2BaSnS4, relaxed, DFT PBE
data_Rb2BaSnS4
_symmetry_space_group_name_H-M 'P 1'
_symmetry_Int_Tables_number 1
_cell_length_a 8.883
_cell_length_b 8.883
_cell_length_c 8.883
_cell_angle_alpha 123.12
_cell_angle_beta 117.77
_cell_angle_gamma 89.29
loop_
_symmetry_equiv_pos_as_xyz
'x,y,z'
loop_
_atom_site_label
_atom_site_fract_x
_atom_site_fract_y
_atom_site_fract_z
Rb1 0.000 0.000 0.000
Rb2 0.500 0.000 0.000
Rb3 0.500 0.000 0.500
Rb4 0.500 0.500 0.500
Ba1 0.000 0.500 0.500
Ba2 0.500 0.500 0.000
Sn1 0.000 0.000 0.500
Sn2 0.000 0.500 0.000
S1 0.197 0.748 0.449
S2 0.201 0.252 0.949
S3 0.202 0.209 0.507
S4 0.202 0.695 0.993
S5 0.798 0.305 0.007
S6 0.798 0.791 0.493
S7 0.799 0.748 0.051
S8 0.803 0.252 0.551
# total magnetization	0.00	μB/cell
# SG	No. 74
# formation energy without anion corrections	-1.047	eV per atom
# E_tot	-4.09	eV per atom


(3)
# NaFeBr2Cl, relaxed, DFT PBE
data_NaFeBr2Cl
_symmetry_space_group_name_H-M 'P 1'
_symmetry_Int_Tables_number 1
_cell_length_a 5.288
_cell_length_b 5.288
_cell_length_c 4.731
_cell_angle_alpha 90.00
_cell_angle_beta 90.00
_cell_angle_gamma 90.00
loop_
_symmetry_equiv_pos_as_xyz
'x,y,z'
loop_
_atom_site_label
_atom_site_fract_x
_atom_site_fract_y
_atom_site_fract_z
Na1 0.000 0.000 0.000
Fe1 0.500 0.500 0.500
Br1 0.000 0.500 0.500
Br2 0.500 0.000 0.500
Cl1 0.500 0.500 0.000
# total magnetization	4.00	μB/cell
# SG	No. 123
# formation energy without anion corrections	-0.793	eV per atom
# E_tot	-3.79	eV per atom


Repeat the third record exactly.
# NaFeBr2Cl, relaxed, DFT PBE
data_NaFeBr2Cl
_symmetry_space_group_name_H-M 'P 1'
_symmetry_Int_Tables_number 1
_cell_length_a 5.288
_cell_length_b 5.288
_cell_length_c 4.731
_cell_angle_alpha 90.00
_cell_angle_beta 90.00
_cell_angle_gamma 90.00
loop_
_symmetry_equiv_pos_as_xyz
'x,y,z'
loop_
_atom_site_label
_atom_site_fract_x
_atom_site_fract_y
_atom_site_fract_z
Na1 0.000 0.000 0.000
Fe1 0.500 0.500 0.500
Br1 0.000 0.500 0.500
Br2 0.500 0.000 0.500
Cl1 0.500 0.500 0.000
# total magnetization	4.00	μB/cell
# SG	No. 123
# formation energy without anion corrections	-0.793	eV per atom
# E_tot	-3.79	eV per atom


The highest total magnetization belongs to which entry?
NaFeBr2Cl